Record 1
An optimized crystal structure of SnTe2As2. Source: Alexandria, functional PBE.

Computed properties:
The value obtained for the total energy is -3.72 eV per atom. The calculation puts the uncorrected formation energy at 0.20 eV per atom. The space group is No. 127. Its calculated density is 6.250 Mg/m³. The calculation puts the density of states at the Fermi level at 0.50 states/eV/atom. The polymorph energy (0 for the lowest one) is 78 meV/atom. The calculation puts the magnetization at 0.000 μB per atom.

```
10
Lattice="8.665 0.000 0.000 0.000 8.665 0.000 0.000 0.000 3.707" Properties=species:S:1:pos:R:3 pbc="T T T"
Sn 0.000 0.000 0.000
Sn 4.332 4.332 0.000
Te 1.341 2.992 0.000
Te 2.992 7.324 0.000
Te 5.673 1.341 0.000
Te 7.324 5.673 0.000
As 1.615 5.948 1.854
As 2.717 1.615 1.854
As 5.948 7.049 1.854
As 7.049 2.717 1.854
```

Record 2
An optimized crystal structure of Nd2EuBeO5. Source: Alexandria, functional PBE.

Computed properties:
The value obtained for the total energy is -8.46 eV per atom. The calculation puts the uncorrected formation energy at -3.09 eV per atom. The space group is No. 33. Its calculated density is 7.617 Mg/m³. The calculation puts the density of states at the Fermi level at 0.17 states/eV/atom. The calculation puts the magnetization at 0.778 μB per atom.

```
36
Lattice="9.606 0.000 0.000 0.000 6.593 0.000 0.000 0.000 7.289" Properties=species:S:1:pos:R:3 pbc="T T T"
Nd 0.224 0.635 0.000
Nd 1.659 3.789 5.692
Nd 3.144 0.492 2.047
Nd 4.580 3.932 3.645
Nd 5.027 2.662 0.000
Nd 6.462 6.101 5.692
Nd 7.947 2.804 2.047
Nd 9.383 5.958 3.645
Eu 1.683 3.840 1.701
Eu 3.120 0.543 5.345
Eu 6.486 6.051 1.701
Eu 7.923 2.754 5.345
Be 0.976 2.033 3.662
Be 3.827 5.330 0.017
Be 5.779 1.264 3.662
Be 8.630 4.561 0.017
O 0.107 3.435 3.672
O 0.657 1.291 5.062
O 0.669 1.238 2.276
O 2.156 5.510 3.652
O 2.170 5.699 0.024
O 2.633 2.403 3.669
O 2.647 2.214 0.007
O 4.134 4.534 5.921
O 4.146 4.588 1.417
O 4.696 0.139 0.027
O 4.910 6.455 3.672
O 5.460 2.006 5.062
O 5.472 2.059 2.276
O 6.959 4.380 3.652
O 6.973 4.191 0.024
O 7.436 0.894 3.669
O 7.450 1.083 0.007
O 8.937 5.356 5.921
O 8.949 5.303 1.417
O 9.499 3.158 0.027
```

Record 3
An optimized crystal structure of Tb4CdIn2. Source: Alexandria, functional PBE.

Computed properties:
The value obtained for the total energy is -3.85 eV per atom. The calculation puts the formation energy at -0.29 eV per atom. The space group is No. 166. Its calculated density is 7.917 Mg/m³. The calculation puts the density of states at the Fermi level at 1.00 states/eV/atom. The polymorph energy (0 for the lowest one) is 0 meV/atom. The calculation puts the magnetization at 0.000 μB per atom.

```
7
Lattice="2.637 1.523 8.511 -2.637 1.523 8.511 0.000 -3.045 8.511" Properties=species:S:1:pos:R:3 pbc="T T T"
Tb 0.000 0.000 3.046
Tb 0.000 0.000 9.484
Tb 0.000 0.000 16.049
Tb 0.000 0.000 22.486
Cd 0.000 0.000 12.766
In 0.000 0.000 6.336
In 0.000 0.000 19.197
```

Record 4
An optimized crystal structure of CaNd3Sm. Source: Alexandria, functional PBE.

Computed properties:
The value obtained for the total energy is -4.04 eV per atom. The calculation puts the formation energy at 0.16 eV per atom. The space group is No. 65. Its calculated density is 5.654 Mg/m³. The calculation puts the density of states at the Fermi level at 1.55 states/eV/atom. The polymorph energy (0 for the lowest one) is 0 meV/atom. The calculation puts the magnetization at 0.000 μB per atom.

```
10
Lattice="2.783 -5.731 0.000 2.783 5.731 0.000 0.000 0.000 11.478" Properties=species:S:1:pos:R:3 pbc="T T T"
Ca 2.783 3.942 0.000
Ca 2.783 -3.942 0.000
Nd 2.783 3.975 3.511
Nd 2.783 3.975 7.967
Nd 2.783 0.000 2.148
Nd 2.783 0.000 9.330
Nd 2.783 -3.975 3.511
Nd 2.783 -3.975 7.967
Sm 2.783 1.585 5.739
Sm 2.783 -1.585 5.739
```

Record 5
An optimized crystal structure of LiAuSe2. Source: Alexandria, functional PBE.

Computed properties:
The value obtained for the total energy is -3.36 eV per atom. The calculation puts the uncorrected formation energy at -0.32 eV per atom. The space group is No. 166. Its calculated density is 7.463 Mg/m³. The calculation puts the density of states at the Fermi level at 0.71 states/eV/atom. The calculation puts the magnetization at 0.000 μB per atom.

```
4
Lattice="1.961 1.132 6.045 -1.961 1.132 6.045 0.000 -2.264 6.045" Properties=species:S:1:pos:R:3 pbc="T T T"
Li 0.000 0.000 0.000
Au 0.000 0.000 9.067
Se 0.000 0.000 4.505
Se 0.000 0.000 13.629
```

Record 6
An optimized crystal structure of MnZn2Hg. Source: Alexandria, functional PBE.

Computed properties:
The value obtained for the total energy is -2.80 eV per atom. The calculation puts the formation energy at 0.21 eV per atom. The space group is No. 71. Its calculated density is 9.554 Mg/m³. The calculation puts the density of states at the Fermi level at 0.60 states/eV/atom. The calculation puts the magnetization at 0.850 μB per atom.

```
4
Lattice="-1.526 2.333 4.715 1.526 -2.333 4.715 1.526 2.333 -4.715" Properties=species:S:1:pos:R:3 pbc="T T T"
Mn 0.000 0.000 0.000
Zn 1.526 0.000 2.185
Zn 0.000 2.333 2.530
Hg 0.000 0.000 4.715
```